Density functional theory data (PBE) for crystalline CaZnCr3 at its relaxed geometry.

Values from the calculation:
The value obtained for the volume is 114.67 Å³/cell. The density of states at the Fermi level comes out at 0.6218 states/eV per atom. Its total DFT energy (no corrections) is -0.400 Ry/atom.

Lattice parameters (Å, degrees): 4.8583 4.8583 4.8583 90.00 90.00 90.00
With the nearest neighbours (Å) after each atom.
Space group Pm-3m (No. 221)
One atom of each set of equivalent atoms:
Ca 0.0000 0.0000 0.0000 (multiplicity 1)  12 Cr 3.44
Zn 0.5000 0.5000 0.5000 (multiplicity 1)  6 Cr 2.43
Cr 0.0000 0.5000 0.5000 (multiplicity 3)  2 Zn 2.43



Density functional theory data (PBE) for crystalline Zn6Ag5Pd at its relaxed geometry.

Values from the calculation:
The value obtained for the volume is 381.62 Å³/cell. The density of states at the Fermi level comes out at 0.2309 states/eV per atom. Its total DFT energy (no corrections) is -0.175 Ry/atom.

Lattice parameters (Å, degrees): 13.2290 7.2592 4.1797 90.00 108.05 90.00
With the nearest neighbours (Å) after each atom.
Space group C2/m (No. 12)
One atom of each set of equivalent atoms:
Zn 0.0000 0.2353 0.0000 (multiplicity 4)  2 Pd 2.70, 6 Ag 2.76-2.84, 4 Zn 2.91-2.93
Zn 0.1617 0.2435 0.6620 (multiplicity 8)  1 Pd 2.69, 7 Ag 2.74-2.81, 2 Zn 2.91-2.93
Ag 0.0000 0.5000 0.5000 (multiplicity 2)  8 Zn 2.76-2.84, 4 Ag 2.93-2.95
Ag 0.1647 0.5000 0.1645 (multiplicity 4)  8 Zn 2.80-2.83, 4 Ag 2.92-2.95
Ag 0.1722 0.0000 0.1728 (multiplicity 4)  8 Zn 2.74-2.80, 2 Ag 2.92-2.94, 2 Pd 3.00-3.02
Pd 0.0000 0.0000 0.5000 (multiplicity 2)  8 Zn 2.69-2.70, 2 Ag 3.00



Density functional theory data (PBE) for crystalline Tb2CdCo at its relaxed geometry.

Values from the calculation:
The value obtained for the volume is 91.00 Å³/cell. The density of states at the Fermi level comes out at 0.6352 states/eV per atom. Its total DFT energy (no corrections) is -0.335 Ry/atom.

Lattice parameters (Å, degrees): 3.4483 3.4483 7.6529 90.00 90.00 90.00
With the nearest neighbours (Å) after each atom.
Space group P4/mmm (No. 123)
One atom of each set of equivalent atoms:
Tb 0.0000 0.0000 0.2127 (multiplicity 2)  4 Co 2.93, 1 Tb 3.26
Cd 0.5000 0.5000 0.5000 (multiplicity 1)  8 Tb 3.28, 4 Cd 3.45
Co 0.5000 0.5000 0.0000 (multiplicity 1)  8 Tb 2.93



Density functional theory data (PBE) for crystalline Ta2ZnW at its relaxed geometry.

Values from the calculation:
The value obtained for the volume is 67.96 Å³/cell. The density of states at the Fermi level comes out at 0.7419 states/eV per atom. Its total DFT energy (no corrections) is -0.683 Ry/atom.

Lattice parameters (Å, degrees): 2.7380 4.1865 5.9293 90.00 90.00 90.00
With the nearest neighbours (Å) after each atom.
Space group Pmmm (No. 47)
One atom of each set of equivalent atoms:
Ta 0.0000 0.0000 0.2481 (multiplicity 2)  4 Ta 2.74-2.99, 4 Zn 2.90, 4 W 2.91
Zn 0.5000 0.5000 0.0000 (multiplicity 1)  2 Zn 2.74, 8 Ta 2.90, 2 W 2.96
W 0.5000 0.5000 0.5000 (multiplicity 1)  2 W 2.74, 8 Ta 2.91, 2 Zn 2.96



Density functional theory data (PBE) for crystalline CaAlCdAu6 at its relaxed geometry.

Values from the calculation:
The value obtained for the volume is 755.59 Å³/cell. The density of states at the Fermi level comes out at 0.3273 states/eV per atom. Its total DFT energy (no corrections) is -0.236 Ry/atom.

Lattice parameters (Å, degrees): 7.2193 9.6161 10.8842 90.00 90.00 90.00
With the nearest neighbours (Å) after each atom.
Space group Imma (No. 74)
One atom of each set of equivalent atoms:
Ca 0.0000 0.2500 0.2189 (multiplicity 4)  10 Au 3.02-3.27
Al 0.0000 0.0000 0.0000 (multiplicity 4)  6 Au 2.49-2.59
Cd 0.2500 0.2500 0.7500 (multiplicity 4)  6 Au 2.76-2.96
Au 0.0000 0.2500 0.5194 (multiplicity 4)  8 Au 3.07-3.21, 2 Cd 3.09, 1 Ca 3.27
Au 0.0000 0.2500 0.9416 (multiplicity 4)  2 Al 2.49, 2 Cd 2.76
Au 0.1989 0.0224 0.3725 (multiplicity 16)  1 Al 2.59, 3 Au 2.77-2.87